VASP calculation (PBE) on crystalline CaHg2P at its relaxed geometry.

Summary:
Calculated formation energy   -345 meV/atom

a b c (Å): 7.423 4.272 6.848
angles (deg): 90.00 110.81 90.00
Space group Cm (No. 8)
Inequivalent atoms, fractional coordinates:
Ca (0.000, 0.000, 0.000)
Hg (0.227, 0.000, 0.680)
Hg (0.466, 0.000, 0.399)
P (0.241, 0.500, 0.226)